Record 1
TiSn2Ru2 | PBE | optimized geometry

Output
For the formation energy, the calculation gives -130 meV/atom. For the density of states at the Fermi level, the calculation gives 0.8503 states/eV/atom. For the calculated density, the calculation gives 8.99 g cm⁻³. Its total energy is -7.0203 eV/atom.

Cell: 6.669 6.669 4.050 Å, 90.00 90.00 90.00°
Space group P4/mbm (No. 127)
Inequivalent atoms, fractional coordinates:
Ti  0.000  0.000  0.000
Sn  0.167  0.333  0.500
Ru  0.141  0.641  0.000

Record 2
Eu2GeSe | PBE | optimized geometry

Output
The value obtained for the uncorrected formation energy is -1.17 eV per atom. For the density of states at the Fermi level, the calculation gives 4.7429 states/eV/atom. For the calculated density, the calculation gives 6.52 g cm⁻³. Its total energy is -8.3297 eV/atom.

Cell: 4.1680 4.1680 23.1443 Å, 90.00 90.00 120.00°
Space group R-3m (No. 166, hexagonal axes)
Inequivalent atoms, fractional coordinates:
Eu  0.0000  0.0000  0.2463
Ge  0.0000  0.0000  0.0000
Se  0.0000  0.0000  0.5000

Record 3
TaTc2Os | PBE | optimized geometry

Output
For the formation energy, the calculation gives 37 meV/atom. The calculation puts the distance to the lowest polymorph of the same formula at 81.7 meV/atom. For the density of states at the Fermi level, the calculation gives 1.3837 states/eV/atom. For the calculated density, the calculation gives 15.31 g cm⁻³. Its total energy is -10.9168 eV/atom.

Cell: 5.567 7.868 2.809 Å, 90.00 90.00 90.00°
Space group Cmmm (No. 65)
Inequivalent atoms, fractional coordinates:
Ta  0.000  0.000  0.000
Tc  0.250  0.250  0.500
Os  0.000  0.500  0.000

Record 4
Pm2PrMg4 | PBE | optimized geometry

Output
For the formation energy, the calculation gives 114 meV/atom. The calculation puts the distance to the lowest polymorph of the same formula at 0.0 meV/atom. For the density of states at the Fermi level, the calculation gives 0.9022 states/eV/atom. For the calculated density, the calculation gives 3.95 g cm⁻³. Its total energy is -2.8376 eV/atom.

Cell: 5.450 5.450 14.965 Å, 90.00 90.00 90.00°
Space group I4/mmm (No. 139)
Inequivalent atoms, fractional coordinates:
Pm  0.000  0.000  0.246
Pr  0.000  0.000  0.500
Mg  0.000  0.500  0.118

Record 5
CeAgSnN | PBE | optimized geometry

Output
The value obtained for the uncorrected formation energy is -0.54 eV per atom. For the density of states at the Fermi level, the calculation gives 0.8901 states/eV/atom. For the calculated density, the calculation gives 7.77 g cm⁻³. Its total energy is -5.8202 eV/atom.

Cell: 3.305 3.305 14.900 Å, 90.00 90.00 90.00°
Space group I4mm (No. 107)
Inequivalent atoms, fractional coordinates:
Ce  0.000  0.000  0.000
Ag  0.000  0.000  0.316
Sn  0.000  0.000  0.693
N  0.000  0.000  0.467

Record 6
CaAl2Zn2 | PBE | optimized geometry

Output
For the formation energy, the calculation gives -246 meV/atom. For the density of states at the Fermi level, the calculation gives 0.3741 states/eV/atom. For the calculated density, the calculation gives 3.79 g cm⁻³. Its total energy is -2.6534 eV/atom.

Cell: 4.183 4.183 11.248 Å, 90.00 90.00 90.00°
Space group P4/nmm (No. 129, origin choice 2)
Inequivalent atoms, fractional coordinates:
Ca  0.250  0.250  0.248
Al  0.250  0.250  0.865
Al  0.250  0.750  0.500
Zn  0.250  0.250  0.641
Zn  0.250  0.750  0.000

Record 7
YFeRu2 | PBE | optimized geometry

Output
For the formation energy, the calculation gives 71 meV/atom. The calculation puts the distance to the lowest polymorph of the same formula at 0.0 meV/atom. For the density of states at the Fermi level, the calculation gives 0.9862 states/eV/atom. For the calculated density, the calculation gives 8.70 g cm⁻³. Its total energy is -8.2983 eV/atom.

Cell: 3.169 3.169 6.594 Å, 90.00 90.00 90.00°
Space group P4/mmm (No. 123)
Inequivalent atoms, fractional coordinates:
Y  0.000  0.000  0.000
Fe  0.000  0.000  0.500
Ru  0.500  0.500  0.293

Record 8
Sr4SiSe6 | PBE | optimized geometry

Output
The value obtained for the uncorrected formation energy is -1.53 eV per atom. For the density of states at the Fermi level, the calculation gives 0.0000 states/eV/atom. For the calculated density, the calculation gives 3.66 g cm⁻³. Its total energy is -4.5307 eV/atom.

Cell: 14.726 7.817 14.507 Å, 90.00 112.23 90.00°
Space group Cc (No. 9)
Inequivalent atoms, fractional coordinates:
Sr  0.000  0.130  0.000
Sr  0.071  0.323  0.326
Sr  0.234  0.306  0.678
Sr  0.366  0.130  0.047
Si  0.295  0.230  0.274
Se  0.042  0.243  0.513
Se  0.207  0.299  0.108
Se  0.223  0.004  0.322
Se  0.279  0.468  0.364
Se  0.407  0.224  0.631
Se  0.457  0.203  0.294